No. 1
Here is crystalline NdHo2Tm2 at its relaxed geometry from Alexandria via LeMat-Bulk. Energies are from PBE-GGA.

Calculated values
symmetry	Amm2
ΔE_f	59	kJ/mol of formula units
total magnetic moment	0.0	μB/cell

```
5
Lattice="-2.2104 0.5437 -2.6475 -3.5789 -3.8191 2.2037 -1.8708 7.8052 3.1649" Properties=species:S:1:pos:R:3 pbc="T T T"
Nd -0.5756 0.3241 -0.3739
Ho -3.3644 4.8155 2.8769
Ho -4.0087 -0.4464 0.0319
Tm -4.2798 1.4983 2.9599
Tm -3.0915 2.8687 -0.0530
```

No. 2
Here is crystalline Rb2SrTcO6 at its relaxed geometry from Alexandria via LeMat-Bulk. Energies are from PBE-GGA.

Calculated values
symmetry	P-3m1
total magnetic moment	1.0	μB/cell
E_form (uncorrected)	-1.56	eV per atom

```
10
Lattice="6.2559 0.0000 0.0000 0.0000 6.4949 0.0000 0.0000 -3.2475 5.6248" Properties=species:S:1:pos:R:3 pbc="T T T"
Rb 0.6487 0.0000 3.7498
Rb 5.6073 3.2475 1.8749
Sr 3.1280 0.0000 0.0000
Tc 0.0000 0.0000 0.0000
O 5.1217 0.0000 1.5264
O 5.1217 -1.9255 4.8616
O 5.1217 1.9255 4.8616
O 1.1343 5.1730 0.7632
O 1.1343 1.3219 0.7632
O 1.1343 3.2475 4.0983
```

No. 3
Here is crystalline CuHg5 at its relaxed geometry from Alexandria via LeMat-Bulk. Energies are from PBE-GGA.

Calculated values
symmetry	Cm
ΔE_f	62	kJ/mol of formula units
total magnetic moment	0.0	μB/cell

```
6
Lattice="-2.7325 -6.2878 -0.1802 -2.7012 -5.4485 -3.1707 3.8579 -8.1849 -2.2570" Properties=species:S:1:pos:R:3 pbc="T T T"
Cu 3.4958 -8.0531 -2.2238
Hg -1.5833 -13.7802 -3.8844
Hg -0.7209 -5.8890 -1.6605
Hg 0.9342 -11.6924 -3.2721
Hg 1.5614 -3.9638 -1.0962
Hg -3.2437 -7.9688 -2.2706
```

No. 4
Here is crystalline ZrTlIn2Br8 at its relaxed geometry from Alexandria via LeMat-Bulk. Energies are from PBE-GGA.

Calculated values
symmetry	P-1
total magnetic moment	0.0	μB/cell
E_form (uncorrected)	-0.96	eV per atom

```
12
Lattice="-6.4788 -1.9309 2.6311 2.6484 -0.9216 6.1746 -1.7774 8.8002 2.0841" Properties=species:S:1:pos:R:3 pbc="T T T"
Zr 0.0000 0.0000 0.0000
Tl -0.8887 4.4001 1.0421
In -3.2440 5.1498 5.9594
In -2.3638 0.7979 4.9304
Br 0.7432 0.8265 5.5265
Br -4.2190 6.7282 8.7658
Br -5.3008 -0.0685 4.1305
Br -6.3511 5.1211 5.3633
Br -1.3888 -0.7805 2.1240
Br -0.3070 6.0161 6.7592
Br -3.1590 2.5027 7.1332
Br -2.4489 3.4449 3.7566
```

No. 5
Here is crystalline Dy5TlTe8 at its relaxed geometry from Alexandria via LeMat-Bulk. Energies are from PBE-GGA.

Calculated values
symmetry	F-43m
total magnetic moment	0.0	μB/cell
E_form (uncorrected)	-1.19	eV per atom

```
14
Lattice="-0.5669 1.2016 -9.0873 7.1382 -2.1372 -5.3687 -0.4656 -7.2834 -5.5748" Properties=species:S:1:pos:R:3 pbc="T T T"
Dy 0.0000 0.0000 0.0000
Dy 4.0134 -1.5882 -9.7419
Dy 3.7889 -5.1003 -12.4300
Dy 4.0622 -5.6797 -8.0482
Dy 0.3469 -4.0697 -9.8413
Tl 1.5264 -2.0547 -5.0077
Te 5.5622 -4.1463 -10.1768
Te 2.1168 -2.6534 -11.8396
Te 2.3703 -3.1907 -7.7761
Te 2.1621 -6.4475 -10.2690
Te 5.5115 -3.7172 -14.7576
Te 5.5589 -7.6882 -13.1138
Te 5.2936 -7.1258 -17.3666
Te 1.9530 -6.1256 -14.8541
```

No. 6
Here is crystalline PrGdZrSc at its relaxed geometry from Alexandria via LeMat-Bulk. Energies are from PBE-GGA.

Calculated values
symmetry	F-43m
ΔE_f	69	kJ/mol of formula units
total magnetic moment	8.2	μB/cell

```
4
Lattice="5.4253 0.0000 0.0000 2.7127 4.6985 0.0000 2.7127 1.5662 4.4297" Properties=species:S:1:pos:R:3 pbc="T T T"
Pr 8.1380 4.6985 3.3223
Sc 0.0000 0.0000 0.0000
Gd 2.7127 1.5662 1.1074
Zr 5.4253 3.1323 2.2149
```

No. 7
Here is crystalline Dy8Si3Te4P at its relaxed geometry from Alexandria via LeMat-Bulk. Energies are from PBE-GGA.

Calculated values
symmetry	R-3m
total magnetic moment	0.0	μB/cell
E_form (uncorrected)	-1.22	eV per atom

```
16
Lattice="8.3893 0.0000 0.0000 0.0000 8.5710 0.1215 -4.1947 -4.1909 5.9352" Properties=species:S:1:pos:R:3 pbc="T T T"
Dy -2.0982 2.0407 5.8886
Dy 0.0000 4.1379 2.9205
Dy 0.0000 0.2221 3.1203
Dy 2.0982 2.0407 5.8886
Dy 2.0965 2.3393 0.1680
Dy 4.1947 4.1580 2.9363
Dy 4.1947 0.2422 3.1362
Dy 6.2929 2.3393 0.1680
Si 4.1947 4.2855 0.0608
Si 2.0973 2.1900 3.0283
Si -2.0973 2.1900 3.0283
Te 4.1947 0.0000 0.0000
Te 2.0973 -2.0955 2.9676
Te 0.0000 0.0000 0.0000
Te -2.0973 -2.0955 2.9676
P 0.0000 4.2855 0.0608
```

No. 8
Here is crystalline La4IrN2 at its relaxed geometry from Alexandria via LeMat-Bulk. Energies are from PBE-GGA.

Calculated values
symmetry	I4/mmm
total magnetic moment	0.0	μB/cell
E_form (uncorrected)	-0.69	eV per atom

```
7
Lattice="5.5794 0.0000 0.0000 0.0000 5.5794 0.0000 2.7897 2.7897 6.0035" Properties=species:S:1:pos:R:3 pbc="T T T"
N 2.7897 2.7897 0.6677
N 5.5794 5.5794 5.3358
Ir 0.0000 0.0000 0.0000
La 2.7897 2.7897 2.9455
La 5.5794 5.5794 3.0580
La 0.0000 2.7897 0.0000
La 2.7897 0.0000 0.0000
```